# 1
VASP calculation (GGA-PBE) on a relaxed VTcGe2 crystal.

Geometry as POSCAR:
```
VTcGe2
1.0
3.0537 0.0000 0.0000
0.0000 3.0537 0.0000
0.0000 0.0000 6.2327
V Tc Ge
1 1 2
Direct
0.0000 0.0000 0.0000
0.0000 0.0000 0.5000
0.5000 0.5000 0.2606
0.5000 0.5000 0.7394
```

crystal system = tetragonal
space group = P4/mmm, No. 123
raw total energy = -7.205 eV per atom
ΔE to the lowest computed polymorph = 0.038 eV/atom
DFT formation energy = -26 meV per atom
total magnetization = 0.84 μB per formula unit

# 2
VASP calculation (GGA-PBE) on a relaxed NaInPb2 crystal.

Geometry as POSCAR:
```
NaInPb2
1.0
-4.3864 4.3864 3.2833
4.3864 -4.3864 3.2833
4.3864 4.3864 -3.2833
Na In Pb
2 2 4
Direct
0.0000 0.0000 0.0000
0.7500 0.2500 0.5000
0.2500 0.7500 0.5000
0.5000 0.5000 0.0000
0.1536 0.6250 0.0286
0.3750 0.4036 0.5286
0.5964 0.1250 0.9714
0.8750 0.8464 0.4714
```

crystal system = tetragonal
space group = I-42d, No. 122
raw total energy = -2.812 eV per atom
DFT formation energy = 57 meV per atom
total magnetization = 0.00 μB per formula unit

# 3
VASP calculation (GGA-PBE) on a relaxed BeGa2P crystal.

Geometry as POSCAR:
```
BeGa2P
1.0
0.0000 3.1305 3.1305
3.1305 0.0000 3.1305
3.1305 3.1305 0.0000
Be Ga P
1 2 1
Direct
0.0000 0.0000 0.0000
0.2500 0.2500 0.2500
0.7500 0.7500 0.7500
0.5000 0.5000 0.5000
```

crystal system = cubic
space group = Fm-3m, No. 225
raw total energy = -3.305 eV per atom
ΔE to the lowest computed polymorph = 0.188 eV/atom
DFT formation energy = 492 meV per atom
total magnetization = 0.00 μB per formula unit

Question: Which of these has the highest raw total energy?
Answer: NaInPb2

Copy entry 1 word for word.
VASP calculation (GGA-PBE) on a relaxed VTcGe2 crystal.

Geometry as POSCAR:
```
VTcGe2
1.0
3.0537 0.0000 0.0000
0.0000 3.0537 0.0000
0.0000 0.0000 6.2327
V Tc Ge
1 1 2
Direct
0.0000 0.0000 0.0000
0.0000 0.0000 0.5000
0.5000 0.5000 0.2606
0.5000 0.5000 0.7394
```

crystal system = tetragonal
space group = P4/mmm, No. 123
raw total energy = -7.205 eV per atom
ΔE to the lowest computed polymorph = 0.038 eV/atom
DFT formation energy = -26 meV per atom
total magnetization = 0.84 μB per formula unit

Question: Among the records above, which one has the lowest DFT formation energy?
Answer: VTcGe2

Question: What is the total magnetization in the first record?
Answer: 0.84 μB per formula unit